Density functional theory data (PBE) for a geometry-optimized HoAl4Au12 structure.

```
HoAl4Au12
1.0
-3.173 2.658 6.505
-3.442 -6.593 -2.031
7.518 -1.271 1.140
Ho Al Au
1 4 12
Cartesian
0.000 0.000 0.000
-1.721 -3.297 -1.016
-1.586 1.329 3.252
0.452 -2.603 2.807
3.759 -0.635 0.570
-2.458 -0.242 5.010
-1.623 -2.568 1.388
1.833 0.301 5.733
4.626 -1.389 2.806
-0.929 -5.507 -0.119
2.526 -2.639 4.226
0.453 -0.140 3.306
0.451 -5.067 2.308
-3.722 -3.817 2.808
-1.164 -2.739 4.728
2.068 -2.468 0.886
3.362 -4.964 0.604
```

Output
DFT formation energy (eV per atom): -0.18
Space-group type: No. 204
Crystal system: cubic



Density functional theory data (PBE) for a geometry-optimized Na2SiSe5 structure.

```
Na2SiSe5
1.0
-4.439 5.507 0.015
-0.142 -0.129 5.362
7.306 1.354 -2.546
Na Si Se
2 1 5
Cartesian
1.959 1.572 2.818
-0.139 4.430 0.156
2.310 6.398 2.778
-2.971 4.457 1.314
-0.711 1.653 1.306
-3.212 4.173 3.962
-1.032 1.469 3.955
0.572 4.996 2.895
```

Output
Raw formation energy (eV/atom): -0.45
Space-group type: No. 8
Crystal system: monoclinic



Density functional theory data (PBE) for a geometry-optimized CeNiP2Ir2 structure.

```
CeNiP2Ir2
1.0
4.310 0.000 0.000
0.000 4.310 0.000
0.000 0.000 5.372
Ce Ni P Ir
1 1 2 2
Cartesian
0.000 0.000 2.686
0.000 0.000 0.000
2.155 0.000 0.000
0.000 2.155 0.000
2.155 2.155 3.993
2.155 2.155 1.379
```

Output
DFT formation energy (eV per atom): -0.36
Space-group type: No. 123
Crystal system: tetragonal



Density functional theory data (PBE) for a geometry-optimized SrC3 structure.

```
SrC3
1.0
3.569 0.000 0.000
0.000 3.989 -0.028
0.000 0.012 3.987
Sr C
1 3
Cartesian
1.785 1.000 0.990
0.000 3.481 3.444
1.785 3.001 2.969
0.000 2.520 2.494
```

Output
DFT formation energy (eV per atom): 1.40
Relative energy among the computed polymorphs (eV per atom): 0.813
Space-group type: No. 65
Crystal system: orthorhombic



Density functional theory data (PBE) for a geometry-optimized CsCeGe2O6 structure.

```
CsCeGe2O6
1.0
7.576 0.607 0.744
-0.325 7.593 0.744
-1.295 -1.464 5.583
Cs Ce Ge O
2 2 4 12
Cartesian
0.783 5.962 2.140
5.174 0.775 4.931
4.229 2.915 2.140
1.727 3.822 4.931
1.213 0.071 4.842
5.388 4.791 5.021
4.743 6.666 2.229
0.569 1.945 2.051
6.522 3.082 2.415
4.343 0.618 1.865
-0.565 3.654 4.657
1.613 6.118 5.206
1.195 1.230 0.486
5.530 6.132 3.794
4.762 5.506 6.586
0.427 0.604 3.277
1.821 3.051 2.654
3.799 5.288 1.626
4.135 3.685 4.418
2.158 1.449 5.445
```

Output
Raw formation energy (eV/atom): -2.13
Space-group type: No. 15
Crystal system: monoclinic



Density functional theory data (PBE) for a geometry-optimized SnRh3Pb structure.

```
SnRh3Pb
1.0
-1.968 3.493 2.784
-3.973 -2.759 0.653
2.041 -2.003 3.956
Pb Rh Sn
1 3 1
Cartesian
-1.950 -0.634 3.696
-1.987 -1.379 0.326
1.020 -1.001 1.978
-0.984 1.747 1.392
0.000 0.000 0.000
```

Output
DFT formation energy (eV per atom): 0.78
Relative energy among the computed polymorphs (eV per atom): 0.000
Space-group type: No. 221
Crystal system: cubic



Density functional theory data (PBE) for a geometry-optimized Pr2Ge6Ru structure.

```
Pr2Ge6Ru
1.0
-2.905 4.616 0.779
-4.230 -1.992 -3.962
-4.746 -3.323 1.999
Pr Ge Ru
2 6 1
Cartesian
-8.357 0.224 -0.673
-3.524 -0.923 -0.511
-6.312 -2.003 0.472
-8.280 -2.929 -1.370
-6.072 -1.384 -2.299
-5.569 1.303 -1.656
-3.601 2.230 0.186
-5.809 0.685 1.115
0.000 0.000 0.000
```

Output
DFT formation energy (eV per atom): -0.47
Space-group type: No. 164
Crystal system: trigonal



Density functional theory data (PBE) for a geometry-optimized ThMgFe2H6 structure.

```
ThMgFe2H6
1.0
4.452 0.000 0.000
2.226 3.855 0.000
2.226 1.285 5.102
Th Mg Fe H
1 1 2 6
Cartesian
0.000 0.000 0.000
4.452 2.570 2.551
6.677 3.855 3.106
2.226 1.285 1.996
3.291 3.240 4.107
4.452 1.230 4.107
3.291 1.900 0.995
5.612 1.900 0.995
4.452 3.910 0.995
5.612 3.240 4.107
```

Output
Space-group type: No. 166
Crystal system: trigonal
DFT total energy (eV per atom): -4.821